No. 1
The following is a PBE calculation of a relaxed structure of LaPr2Dy5, from Alexandria.

Calculated values
DFT formation energy, eV/atom: 0.02
Size of the total moment, μB/cell: 0.00
D(E_F), states/eV/f.u.: 11.7

a b c (Å): 5.122 7.212 14.445
angles (deg): 90.00 90.00 90.00
Atoms (fractional coordinates):
La (0.000, 0.000, 0.500)
La (0.000, 0.500, 0.000)
Pr (0.500, 0.254, 0.626)
Pr (0.500, 0.746, 0.374)
Pr (0.500, 0.246, 0.126)
Pr (0.500, 0.754, 0.874)
Dy (0.000, 0.000, 0.000)
Dy (0.000, 0.500, 0.500)
Dy (0.000, 0.505, 0.748)
Dy (0.000, 0.495, 0.252)
Dy (0.000, 0.995, 0.248)
Dy (0.000, 0.005, 0.752)
Dy (0.500, 0.253, 0.874)
Dy (0.500, 0.747, 0.126)
Dy (0.500, 0.247, 0.374)
Dy (0.500, 0.753, 0.626)

No. 2
The following is a PBE calculation of a relaxed structure of KSiAu2Se4, from Alexandria.

Calculated values
Size of the total moment, μB/cell: 0.00
ΔE_f (raw), eV/atom: -0.451
D(E_F), states/eV/f.u.: 3.5

a b c (Å): 6.856 6.592 6.592
angles (deg): 81.53 58.66 58.66
Atoms (fractional coordinates):
K (0.000, 0.000, 0.000)
Si (0.000, 0.500, 0.500)
Au (0.500, 0.666, 0.334)
Au (0.500, 0.334, 0.666)
Se (0.617, 0.539, 0.840)
Se (0.383, 0.160, 0.461)
Se (0.996, 0.461, 0.160)
Se (0.004, 0.840, 0.539)

No. 3
The following is a PBE calculation of a relaxed structure of LiTi2Co2, from Alexandria.

Calculated values
DFT formation energy, eV/atom: -0.13
Energy above the lowest structure with this stoichiometry, meV per atom: 53
Size of the total moment, μB/cell: 0.00
D(E_F), states/eV/f.u.: 3.4

a b c (Å): 7.122 7.122 2.761
angles (deg): 90.00 90.00 90.00
Atoms (fractional coordinates):
Li (0.000, 0.000, 0.000)
Li (0.500, 0.500, 0.000)
Co (0.144, 0.644, 0.500)
Co (0.644, 0.856, 0.500)
Co (0.856, 0.356, 0.500)
Co (0.356, 0.144, 0.500)
Ti (0.351, 0.851, 0.000)
Ti (0.851, 0.649, 0.000)
Ti (0.649, 0.149, 0.000)
Ti (0.149, 0.351, 0.000)